VASP calculation (PBE) on an optimized crystal structure of Ac4PrNd7.

Results
Energy relative to the elements, eV/atom: 0.03

Unit cell a=3.806 b=3.806 c=36.873 alpha=90.00 beta=90.00 gamma=120.00
Fractional positions:
1 Ac 0.667 0.333 0.085
2 Ac 0.333 0.667 0.665
3 Ac 0.667 0.333 0.335
4 Ac 0.333 0.667 0.915
5 Nd 0.667 0.333 0.831
6 Nd 0.000 0.000 0.000
7 Nd 0.000 0.000 0.250
8 Nd 0.333 0.667 0.419
9 Nd 0.333 0.667 0.169
10 Nd 0.000 0.000 0.750
11 Nd 0.667 0.333 0.581
12 Pr 0.000 0.000 0.500

***

VASP calculation (PBE) on an optimized crystal structure of AcPrNd.

Results
Excess energy over the best structure of this formula in the dataset, meV per atom: 1
Energy relative to the elements, eV/atom: 0.03

Unit cell a=3.783 b=11.972 c=5.928 alpha=60.30 beta=90.00 gamma=90.00
Fractional positions:
1 Ac 0.750 0.600 0.150
2 Ac 0.250 0.400 0.850
3 Nd 0.750 0.245 0.506
4 Nd 0.250 0.755 0.494
5 Pr 0.750 0.058 0.193
6 Pr 0.250 0.942 0.807

***

no.,total energy (eV per atom)
1,-4.516
2,-4.524